Here is crystalline SiMoBr2 at its relaxed geometry from the Alexandria database. Energies are from GGA-PBE.

a b c (Å): 3.3171 3.3171 27.2959
angles (deg): 90.00 90.00 120.00
Space group R3m (No. 160, hexagonal axes)
Asymmetric unit:
Si (0.0000, 0.0000, 0.0000) [3 per cell]
Mo (0.0000, 0.0000, 0.7279) [3 per cell]
Br (0.0000, 0.0000, 0.2630) [3 per cell]
Br (0.0000, 0.0000, 0.4608) [3 per cell]

Summary:
* formation energy without anion corrections: 11.0 meV per atom
* offset from the most stable computed form: 0.026 eV/atom
* size of the total moment: 0.00 μB/f.u.

Here is crystalline Cs2UTaSe6 at its relaxed geometry from the Alexandria database. Energies are from GGA-PBE.

a b c (Å): 7.6999 7.6999 37.5919
angles (deg): 90.00 90.00 120.00
Space group R-3m (No. 166, hexagonal axes)
Asymmetric unit:
Cs (0.0000, 0.0000, 0.1269) [6 per cell]
Cs (0.0000, 0.0000, 0.2896) [6 per cell]
U (0.0000, 0.0000, 0.4118) [6 per cell]
Ta (0.0000, 0.0000, 0.0000) [3 per cell]
Ta (0.0000, 0.0000, 0.5000) [3 per cell]
Se (0.0151, 0.5075, 0.7063) [18 per cell]
Se (0.0192, 0.5096, 0.1255) [18 per cell]

Summary:
* formation energy without anion corrections: -1070.5 meV per atom
* size of the total moment: 1.02 μB/f.u.

Here is crystalline PuAlBi at its relaxed geometry from the Alexandria database. Energies are from GGA-PBE.

a b c (Å): 3.4236 19.5528 4.7356
angles (deg): 90.00 90.00 90.00
Space group Cmcm (No. 63)
Asymmetric unit:
Pu (0.0000, 0.1008, 0.2500) [4 per cell]
Al (0.0000, 0.4666, 0.2500) [4 per cell]
Bi (0.0000, 0.3171, 0.2500) [4 per cell]

Summary:
* formation energy from the elements: -21.7 kJ/mol of atoms
* size of the total moment: 5.73 μB/f.u.

Here is crystalline Ba2PmAs2Br2 at its relaxed geometry from the Alexandria database. Energies are from GGA-PBE.

a b c (Å): 5.6154 5.6154 16.7742
angles (deg): 90.00 90.00 90.00
Space group I4/mmm (No. 139)
Asymmetric unit:
Ba (0.0000, 0.0000, 0.1219) [4 per cell]
Pm (0.0000, 0.0000, 0.5000) [2 per cell]
As (0.0000, 0.5000, 0.0000) [4 per cell]
Br (0.0000, 0.0000, 0.3167) [4 per cell]

Summary:
* formation energy without anion corrections: -1462.6 meV per atom
* size of the total moment: 0.00 μB/f.u.

Here is crystalline PrSmDy2Te6 at its relaxed geometry from the Alexandria database. Energies are from GGA-PBE.

a b c (Å): 7.8285 7.8285 21.2302
angles (deg): 90.00 90.00 120.00
Space group R3 (No. 146, hexagonal axes)
Asymmetric unit:
Pr (0.0000, 0.0000, 0.0000) [3 per cell]
Sm (0.0000, 0.0000, 0.4977) [3 per cell]
Dy (0.0000, 0.0000, 0.3084) [3 per cell]
Dy (0.0000, 0.0000, 0.8100) [3 per cell]
Te (0.0119, 0.3182, 0.9002) [9 per cell]
Te (0.0157, 0.6465, 0.0672) [9 per cell]

Summary:
* formation energy without anion corrections: -1370.3 meV per atom
* size of the total moment: 0.00 μB/f.u.

Here is crystalline ErGa3Os at its relaxed geometry from the Alexandria database. Energies are from GGA-PBE.

a b c (Å): 7.2653 10.9101 9.1099
angles (deg): 90.00 90.00 90.00
Space group Cmcm (No. 63)
Asymmetric unit:
Er (0.0000, 0.1341, 0.2500) [4 per cell]
Er (0.0000, 0.3483, 0.7500) [4 per cell]
Ga (0.0000, 0.1038, 0.5833) [8 per cell]
Ga (0.1789, 0.5000, 0.0000) [8 per cell]
Ga (0.1914, 0.3672, 0.2500) [8 per cell]
Os (0.2500, 0.2500, 0.0000) [8 per cell]

Summary:
* formation energy from the elements: -22.8 kJ/mol of atoms
* offset from the most stable computed form: 0.248 eV/atom
* size of the total moment: 0.00 μB/f.u.

Here is crystalline Nd3Tm2Tl4 at its relaxed geometry from the Alexandria database. Energies are from GGA-PBE.

a b c (Å): 15.4723 11.5102 6.1397
angles (deg): 90.00 91.57 90.00
Space group C2/c (No. 15)
Asymmetric unit:
Nd (0.0000, 0.1032, 0.2500) [4 per cell]
Nd (0.1195, 0.3912, 0.4130) [8 per cell]
Tm (0.2233, 0.1187, 0.1328) [8 per cell]
Tl (0.0769, 0.3139, 0.9301) [8 per cell]
Tl (0.1585, 0.1319, 0.6309) [8 per cell]

Summary:
* formation energy from the elements: -21.9 kJ/mol of atoms
* offset from the most stable computed form: 0.061 eV/atom
* size of the total moment: 0.15 μB/f.u.

Here is crystalline Mg3HgPd12 at its relaxed geometry from the Alexandria database. Energies are from GGA-PBE.

a b c (Å): 3.9839 3.9839 16.0199
angles (deg): 90.00 90.00 90.00
Space group P4/mmm (No. 123)
Asymmetric unit:
Mg (0.0000, 0.0000, 0.0000) [1 per cell]
Mg (0.0000, 0.0000, 0.2469) [2 per cell]
Hg (0.0000, 0.0000, 0.5000) [1 per cell]
Pd (0.0000, 0.5000, 0.1231) [4 per cell]
Pd (0.0000, 0.5000, 0.3690) [4 per cell]
Pd (0.5000, 0.5000, 0.0000) [1 per cell]
Pd (0.5000, 0.5000, 0.2453) [2 per cell]
Pd (0.5000, 0.5000, 0.5000) [1 per cell]

Summary:
* formation energy from the elements: -36.1 kJ/mol of atoms
* size of the total moment: 0.00 μB/f.u.

Here is crystalline MnGaRh at its relaxed geometry from the Alexandria database. Energies are from GGA-PBE.

a b c (Å): 2.9268 3.5886 8.1760
angles (deg): 90.00 90.00 90.00
Space group Imm2 (No. 44)
Asymmetric unit:
Mn (0.0000, 0.0000, 0.0000) [2 per cell]
Ga (0.0000, 0.0000, 0.6711) [2 per cell]
Rh (0.0000, 0.0000, 0.3314) [2 per cell]

Summary:
* formation energy from the elements: -32.0 kJ/mol of atoms
* size of the total moment: 4.00 μB/f.u.

Here is crystalline HfTi3Pb at its relaxed geometry from the Alexandria database. Energies are from GGA-PBE.

a b c (Å): 3.8759 3.8759 13.7318
angles (deg): 90.00 90.00 90.00
Space group I4mm (No. 107)
Asymmetric unit:
Hf (0.0000, 0.0000, 0.0000) [2 per cell]
Ti (0.0000, 0.0000, 0.4264) [2 per cell]
Ti (0.0000, 0.5000, 0.2941) [4 per cell]
Pb (0.0000, 0.0000, 0.6273) [2 per cell]

Summary:
* formation energy from the elements: 12.1 kJ/mol of atoms
* offset from the most stable computed form: 0.000 eV/atom
* size of the total moment: 0.00 μB/f.u.

Here is crystalline Rb3Mg2I2Br5 at its relaxed geometry from the Alexandria database. Energies are from GGA-PBE.

a b c (Å): 5.4300 5.4300 29.0674
angles (deg): 90.00 90.00 90.00
Space group I4/mmm (No. 139)
Asymmetric unit:
Rb (0.0000, 0.0000, 0.0000) [2 per cell]
Rb (0.0000, 0.0000, 0.1759) [4 per cell]
Mg (0.0000, 0.0000, 0.4060) [4 per cell]
I (0.0000, 0.0000, 0.3063) [4 per cell]
Br (0.0000, 0.0000, 0.5000) [2 per cell]
Br (0.0000, 0.5000, 0.0910) [8 per cell]

Summary:
* formation energy without anion corrections: -1514.3 meV per atom
* size of the total moment: 0.00 μB/f.u.

Here is crystalline HfSnMo2Os at its relaxed geometry from the Alexandria database. Energies are from GGA-PBE.

a b c (Å): 4.7922 4.7922 5.0531
angles (deg): 90.00 90.00 90.00
Space group P4/mmm (No. 123)
Asymmetric unit:
Hf (0.0000, 0.0000, 0.0000) [1 per cell]
Sn (0.0000, 0.0000, 0.5000) [1 per cell]
Mo (0.0000, 0.5000, 0.5000) [2 per cell]
Os (0.5000, 0.5000, 0.0000) [1 per cell]

Summary:
* formation energy from the elements: 225.8 kJ/mol of atoms
* size of the total moment: 1.44 μB/f.u.